1.
Fe2OsCl, optimized geometry, DFT PBE; uncorrected formation energy = 0.45 eV per atom; DOS at the Fermi energy = 5.1 states/eV per cell; ΔE to the lowest computed polymorph = 158 meV per atom; DFT total energy = -7.0461 eV/atom
1.0
1.4731 -2.4007 0.0000
1.4731 2.4007 0.0000
0.0000 0.0000 8.1295
Fe Os Cl
2 1 1
Direct
0.0000 0.0000 0.2471
0.0000 0.0000 0.7529
0.5000 0.5000 0.5000
0.5000 0.5000 0.0000

***

2.
Fe3OsCl, optimized geometry, DFT PBE; uncorrected formation energy = 1.41 eV per atom; DOS at the Fermi energy = 8.4 states/eV per cell; ΔE to the lowest computed polymorph = 91 meV per atom; DFT total energy = -6.2857 eV/atom
1.0
4.6863 0.0000 0.0000
0.0000 4.6863 0.0000
0.0000 0.0000 4.6863
Fe Os Cl
3 1 1
Direct
0.0000 0.0000 0.5000
0.0000 0.5000 0.0000
0.5000 0.0000 0.0000
0.0000 0.0000 0.0000
0.5000 0.5000 0.5000

***

3.
FeOsCl2, optimized geometry, DFT PBE; uncorrected formation energy = 0.82 eV per atom; DOS at the Fermi energy = 4.1 states/eV per cell; ΔE to the lowest computed polymorph = 710 meV per atom; DFT total energy = -5.0307 eV/atom
1.0
3.2354 0.0000 0.0000
0.0000 4.0966 0.0000
-0.2367 0.0000 4.8680
Fe Os Cl
1 1 2
Direct
0.0000 0.0000 0.0000
0.5000 0.0000 0.5000
0.2690 0.5000 0.2557
0.7310 0.5000 0.7443

***

Copy entry 1 word for word.
Fe2OsCl, optimized geometry, DFT PBE; uncorrected formation energy = 0.45 eV per atom; DOS at the Fermi energy = 5.1 states/eV per cell; ΔE to the lowest computed polymorph = 158 meV per atom; DFT total energy = -7.0461 eV/atom
1.0
1.4731 -2.4007 0.0000
1.4731 2.4007 0.0000
0.0000 0.0000 8.1295
Fe Os Cl
2 1 1
Direct
0.0000 0.0000 0.2471
0.0000 0.0000 0.7529
0.5000 0.5000 0.5000
0.5000 0.5000 0.0000